Record 1
# LiAlAu, relaxed, DFT PBE
# magnetic moment = 0.00 μB per atom
# calculated volume = 18.8 A^3/atom
# calculated density = 6.795 g cm⁻³
# space group = C2/m (12)
# energy = -3.36 eV/atom
data_LiAlAu
_chemical_formula_sum 'Li2 Al2 Au2'
_space_group_name_H-M_alt 'P 1'
_space_group_IT_number 1
_space_group_name_Hall 'P 1'
_cell_length_a 4.162
_cell_length_b 4.162
_cell_length_c 6.516
_cell_angle_alpha 89.93
_cell_angle_beta 89.92
_cell_angle_gamma 90.00
loop_
_atom_site_label
_atom_site_type_symbol
_atom_site_fract_x
_atom_site_fract_y
_atom_site_fract_z
Li1 Li 0.313 0.366 0.270
Au1 Au 0.813 0.866 0.151
Au2 Au 0.314 0.367 0.688
Li2 Li 0.814 0.867 0.569
Al1 Al 0.814 0.367 0.920
Al2 Al 0.314 0.867 0.920

Record 2
# Li2AlAu8, relaxed, DFT PBE
# magnetic moment = 0.00 μB per atom
# calculated volume = 17.5 A^3/atom
# calculated density = 13.955 g cm⁻³
# space group = C2/m (12)
# energy = -3.38 eV/atom
data_Li2AlAu8
_chemical_formula_sum 'Li2 Al1 Au8'
_space_group_name_H-M_alt 'P 1'
_space_group_IT_number 1
_space_group_name_Hall 'P 1'
_cell_length_a 4.538
_cell_length_b 6.124
_cell_length_c 7.897
_cell_angle_alpha 112.74
_cell_angle_beta 106.70
_cell_angle_gamma 90.00
loop_
_atom_site_label
_atom_site_type_symbol
_atom_site_fract_x
_atom_site_fract_y
_atom_site_fract_z
Al1 Al 0.500 0.000 0.000
Au1 Au 0.000 0.740 0.001
Au2 Au 0.361 0.133 0.722
Au3 Au 0.817 0.815 0.633
Au4 Au 0.639 0.867 0.278
Au5 Au 0.638 0.411 0.275
Au6 Au 0.000 0.260 0.999
Au7 Au 0.362 0.589 0.725
Au8 Au 0.183 0.185 0.367
Li1 Li 0.191 0.691 0.382
Li2 Li 0.809 0.309 0.618

Record 3
# Li4AlAu, relaxed, DFT PBE
# magnetic moment = 0.07 μB per atom
# calculated volume = 14.3 A^3/atom
# calculated density = 4.866 g cm⁻³
# polymorph energy (0 for the lowest one) = 194 meV/atom
# space group = F-43m (216)
# energy = -2.59 eV/atom
data_Li4AlAu
_chemical_formula_sum 'Li4 Al1 Au1'
_space_group_name_H-M_alt 'P 1'
_space_group_IT_number 1
_space_group_name_Hall 'P 1'
_cell_length_a 4.953
_cell_length_b 4.953
_cell_length_c 4.953
_cell_angle_alpha 60.00
_cell_angle_beta 60.00
_cell_angle_gamma 60.00
loop_
_atom_site_label
_atom_site_type_symbol
_atom_site_fract_x
_atom_site_fract_y
_atom_site_fract_z
Li1 Li 0.374 0.877 0.374
Au1 Au 0.000 0.000 0.000
Li2 Li 0.374 0.374 0.374
Li3 Li 0.877 0.374 0.374
Al1 Al 0.750 0.750 0.750
Li4 Li 0.374 0.374 0.877

> Look up the energy of the second one.

-3.38 eV/atom

> The lowest calculated volume belongs to which entry?

Li4AlAu

Copy entry 1 word for word.
# LiAlAu, relaxed, DFT PBE
# magnetic moment = 0.00 μB per atom
# calculated volume = 18.8 A^3/atom
# calculated density = 6.795 g cm⁻³
# space group = C2/m (12)
# energy = -3.36 eV/atom
data_LiAlAu
_chemical_formula_sum 'Li2 Al2 Au2'
_space_group_name_H-M_alt 'P 1'
_space_group_IT_number 1
_space_group_name_Hall 'P 1'
_cell_length_a 4.162
_cell_length_b 4.162
_cell_length_c 6.516
_cell_angle_alpha 89.93
_cell_angle_beta 89.92
_cell_angle_gamma 90.00
loop_
_atom_site_label
_atom_site_type_symbol
_atom_site_fract_x
_atom_site_fract_y
_atom_site_fract_z
Li1 Li 0.313 0.366 0.270
Au1 Au 0.813 0.866 0.151
Au2 Au 0.314 0.367 0.688
Li2 Li 0.814 0.867 0.569
Al1 Al 0.814 0.367 0.920
Al2 Al 0.314 0.867 0.920

Copy entry 3 word for word.
# Li4AlAu, relaxed, DFT PBE
# magnetic moment = 0.07 μB per atom
# calculated volume = 14.3 A^3/atom
# calculated density = 4.866 g cm⁻³
# polymorph energy (0 for the lowest one) = 194 meV/atom
# space group = F-43m (216)
# energy = -2.59 eV/atom
data_Li4AlAu
_chemical_formula_sum 'Li4 Al1 Au1'
_space_group_name_H-M_alt 'P 1'
_space_group_IT_number 1
_space_group_name_Hall 'P 1'
_cell_length_a 4.953
_cell_length_b 4.953
_cell_length_c 4.953
_cell_angle_alpha 60.00
_cell_angle_beta 60.00
_cell_angle_gamma 60.00
loop_
_atom_site_label
_atom_site_type_symbol
_atom_site_fract_x
_atom_site_fract_y
_atom_site_fract_z
Li1 Li 0.374 0.877 0.374
Au1 Au 0.000 0.000 0.000
Li2 Li 0.374 0.374 0.374
Li3 Li 0.877 0.374 0.374
Al1 Al 0.750 0.750 0.750
Li4 Li 0.374 0.374 0.877